i) Crystalline Rb3BaBr at its relaxed geometry. Source: Alexandria, functional PBE.

## Properties
- Magnetic moment: 0.40 μB per atom
- Calculated volume: 124.381 Å³ per atom

Cell: 8.5357 8.5357 8.5357 Å, 90.00 90.00 90.00°
Last column: nearest neighbours and their distance in Å.
Positions (direct):
1 Rb 0.0000 0.0000 0.5000  2 Ba 4.27
2 Rb 0.0000 0.5000 0.0000  2 Ba 4.27
3 Rb 0.5000 0.0000 0.0000  2 Ba 4.27
4 Ba 0.0000 0.0000 0.0000  6 Rb 4.27
5 Br 0.5000 0.5000 0.5000  none within 6

ii) Crystalline Rb3BaBr at its relaxed geometry. Source: Alexandria, functional PBE.

## Properties
- Magnetic moment: 0.29 μB per atom
- Calculated volume: 67.385 Å³ per atom

Cell: 6.9584 6.9584 6.9584 Å, 90.00 90.00 90.00°
Last column: nearest neighbours and their distance in Å.
Positions (direct):
1 Rb 0.0000 0.0000 0.5000  2 Br 3.48
2 Rb 0.0000 0.5000 0.0000  2 Br 3.48
3 Rb 0.5000 0.0000 0.0000  2 Br 3.48
4 Ba 0.5000 0.5000 0.5000  12 Rb 4.92
5 Br 0.0000 0.0000 0.0000  6 Rb 3.48

ii) is preferred energetically. Next in line: 621 meV per atom higher.